[1]
Here is a relaxed structure of InP2Ru from the Alexandria database. Energies are from PBE.

a b c (Å): 7.166 3.181 6.609
angles (deg): 90.00 106.73 90.00
Space group C2/m (No. 12)
Unique sites:
1 In 0.000 0.000 0.000 x2
2 P 0.247 0.000 0.676 x4
3 Ru 0.000 0.500 0.500 x2

Computed properties:
ΔE_f = -0.2 eV per formula unit

[2]
Here is a relaxed structure of InPRu2 from the Alexandria database. Energies are from PBE.

a b c (Å): 2.955 2.955 6.758
angles (deg): 90.00 90.00 90.00
Space group P4/mmm (No. 123)
Unique sites:
1 In 0.000 0.000 0.000 x1
2 P 0.000 0.000 0.500 x1
3 Ru 0.500 0.500 0.297 x2

Computed properties:
ΔE_f = -0.8 eV per formula unit